Record 1
# NiHg2Br PBE relaxed
data_NiHg2Br
_cell_length_a 9.780
_cell_length_b 3.437
_cell_length_c 6.531
_cell_angle_alpha 90.00
_cell_angle_beta 99.22
_cell_angle_gamma 90.00
_space_group_name_H-M_alt 'C 1 m 1'
_space_group_IT_number 8
loop_
_space_group_symop_operation_xyz
'x,y,z'
'x,-y,z'
'x+1/2,y+1/2,z'
'x+1/2,-y+1/2,z'
loop_
_atom_site_label
_atom_site_type_symbol
_atom_site_fract_x
_atom_site_fract_y
_atom_site_fract_z
_atom_site_occupancy
Ni1 Ni 0.000 0.000 0.000 1
Hg1 Hg 0.236 0.500 0.081 1
Hg2 Hg 0.487 0.000 0.304 1
Br1 Br 0.443 0.000 0.727 1
# * raw formation energy: 47 meV/atom
# * DOS at the Fermi energy: 5.69 states/eV/cell
# * crystal system: monoclinic

---

Record 2
# RbGe2Rh2 PBE relaxed
data_RbGe2Rh2
_cell_length_a 4.248
_cell_length_b 4.248
_cell_length_c 12.320
_cell_angle_alpha 90.00
_cell_angle_beta 90.00
_cell_angle_gamma 90.00
_space_group_name_H-M_alt 'I 4/m m m'
_space_group_IT_number 139
_space_group_name_Hall '-I 4 2'
loop_
_atom_site_label
_atom_site_type_symbol
_atom_site_fract_x
_atom_site_fract_y
_atom_site_fract_z
_atom_site_occupancy
Rb1 Rb 0.000 0.000 0.000 1
Ge1 Ge 0.000 0.500 0.250 1
Rh1 Rh 0.000 0.000 0.354 1
# * DOS at the Fermi energy: 6.13 states/eV/cell
# * crystal system: tetragonal
# * calculated formation energy: -0.106 eV per atom

---

Record 3
# SmFeC2 PBE relaxed
data_SmFeC2
_cell_length_a 3.8681
_cell_length_b 3.8681
_cell_length_c 17.0015
_cell_angle_alpha 90.00
_cell_angle_beta 90.00
_cell_angle_gamma 120.00
_space_group_name_H-M_alt 'R -3 m'
_space_group_IT_number 166
_space_group_name_Hall '-R 3 2"'
loop_
_atom_site_label
_atom_site_type_symbol
_atom_site_fract_x
_atom_site_fract_y
_atom_site_fract_z
_atom_site_occupancy
Sm1 Sm 0.0000 0.0000 0.0000 1
Fe1 Fe 0.0000 0.0000 0.5000 1
C1 C 0.0000 0.0000 0.3967 1
# * DOS at the Fermi energy: 14.02 states/eV/cell
# * crystal system: trigonal
# * calculated formation energy: 1.145 eV per atom

---

Record 4
# TlRe2W PBE relaxed
data_TlRe2W
_cell_length_a 2.937
_cell_length_b 2.937
_cell_length_c 8.010
_cell_angle_alpha 90.00
_cell_angle_beta 90.00
_cell_angle_gamma 90.00
_space_group_name_H-M_alt 'P 4/m m m'
_space_group_IT_number 123
_space_group_name_Hall '-P 4 2'
loop_
_atom_site_label
_atom_site_type_symbol
_atom_site_fract_x
_atom_site_fract_y
_atom_site_fract_z
_atom_site_occupancy
Tl1 Tl 0.000 0.000 0.000 1
Re1 Re 0.500 0.500 0.280 1
W1 W 0.000 0.000 0.500 1
# * DOS at the Fermi energy: 3.65 states/eV/cell
# * crystal system: tetragonal
# * calculated formation energy: 0.660 eV per atom